[1]
VASP calculation (PBE) on a relaxed SeIN2 crystal.

Structure (POSCAR):
```
SeIN2
1.0
6.076 0.000 0.000
0.000 6.076 0.000
0.000 0.000 6.076
Se I N
4 4 8
direct
0.000 0.000 0.000
0.000 0.500 0.500
0.500 0.000 0.500
0.500 0.500 0.000
0.000 0.000 0.500
0.000 0.500 0.000
0.500 0.000 0.000
0.500 0.500 0.500
0.250 0.250 0.250
0.250 0.250 0.750
0.250 0.750 0.250
0.250 0.750 0.750
0.750 0.250 0.250
0.750 0.250 0.750
0.750 0.750 0.250
0.750 0.750 0.750
```

## Properties
* energy relative to the elements, uncorrected: 2.394 eV/atom
* ΔE to the lowest computed polymorph: 920.6 meV per atom
* calculated total energy: -3.027 eV per atom

***

[2]
VASP calculation (PBE) on a relaxed SrSb2Rh crystal.

Structure (POSCAR):
```
SrSb2Rh
1.0
7.285 0.000 0.000
0.000 7.285 0.000
0.000 0.000 7.285
Sr Sb Rh
4 8 4
direct
0.000 0.000 0.000
0.000 0.500 0.500
0.500 0.000 0.500
0.500 0.500 0.000
0.250 0.250 0.250
0.250 0.250 0.750
0.250 0.750 0.250
0.250 0.750 0.750
0.750 0.250 0.250
0.750 0.250 0.750
0.750 0.750 0.250
0.750 0.750 0.750
0.000 0.000 0.500
0.000 0.500 0.000
0.500 0.000 0.000
0.500 0.500 0.500
```

## Properties
* energy relative to the elements, uncorrected: -0.225 eV/atom
* calculated total energy: -4.544 eV per atom

***

[3]
VASP calculation (PBE) on a relaxed Re2AgSe crystal.

Structure (POSCAR):
```
Re2AgSe
1.0
3.841 0.000 0.000
0.000 3.841 0.000
0.000 0.000 19.486
Re Ag Se
8 4 4
direct
0.198 0.250 0.125
0.250 0.698 0.375
0.250 0.802 0.875
0.302 0.250 0.625
0.698 0.750 0.625
0.750 0.198 0.875
0.750 0.302 0.375
0.802 0.750 0.125
0.000 0.000 0.500
0.000 0.500 0.750
0.500 0.000 0.250
0.500 0.500 0.000
0.000 0.000 0.000
0.000 0.500 0.250
0.500 0.000 0.750
0.500 0.500 0.500
```

## Properties
* energy relative to the elements, uncorrected: 0.963 eV/atom
* calculated total energy: -6.845 eV per atom